(1)
Material: SmThTc
Method: DFT, PBE
State: relaxed

Unit cell a=6.9654 b=6.9145 c=8.4525 alpha=90.00 beta=124.31 gamma=90.00
With the nearest neighbours (Å) after each atom.
Space group P2_1/c (No. 14)
Unique sites:
Sm 0.2022 0.1630 0.4182  3 Tc 3.02-3.17
Th 0.3029 0.6688 0.6011  3 Tc 2.61-2.76
Tc 0.3026 0.5375 0.2953  3 Th 2.61-2.76

Computed properties:
- Electronic total energy: -90.31 eV for the cell shown
- Energy above the most stable polymorph in this dataset: 0.0 kJ per mole of atoms
- Density of states at the Fermi level: 0.73 states/eV per atom



(2)
Material: SmThTc
Method: DFT, PBE
State: relaxed

Unit cell a=6.9540 b=6.9540 c=6.9540 alpha=90.00 beta=90.00 gamma=90.00
With the nearest neighbours (Å) after each atom.
Space group F-43m (No. 216)
Unique sites:
Sm 0.0000 0.0000 0.0000  4 Tc 3.01
Th 0.0000 0.0000 0.5000  4 Tc 3.01
Tc 0.2500 0.2500 0.2500  4 Th 3.01, 4 Sm 3.01

Computed properties:
- Electronic total energy: -89.30 eV for the cell shown
- Energy above the most stable polymorph in this dataset: 8.1 kJ per mole of atoms
- Density of states at the Fermi level: 0.96 states/eV per atom



(3)
Material: SmTh4Tc2
Method: DFT, PBE
State: relaxed

Unit cell a=7.9006 b=6.7018 c=7.9020 alpha=90.00 beta=111.85 gamma=90.00
With the nearest neighbours (Å) after each atom.
Space group P2_1/m (No. 11)
Unique sites:
Sm 0.0219 0.2500 0.1646  2 Tc 2.99-3.28, 1 Th 3.28
Th 0.2471 0.5022 0.5977  4 Tc 3.03-3.20, 2 Th 3.32-3.38
Th 0.3166 0.7500 0.2319  2 Tc 2.69-2.99
Th 0.3827 0.2500 0.0247  2 Tc 2.70-2.91
Tc 0.0155 0.2500 0.7467  2 Th 2.69-2.91
Tc 0.4241 0.2500 0.3794  2 Th 2.70-2.99, 1 Sm 2.99

Computed properties:
- Electronic total energy: -110.66 eV for the cell shown
- Density of states at the Fermi level: 1.11 states/eV per atom



(4)
Material: SmThTc4
Method: DFT, PBE
State: relaxed

Unit cell a=7.7531 b=7.7531 c=7.7531 alpha=90.00 beta=90.00 gamma=90.00
With the nearest neighbours (Å) after each atom.
Space group F-43m (No. 216)
Unique sites:
Sm 0.0000 0.0000 0.0000  12 Tc 3.21, 4 Th 3.36
Th 0.2500 0.2500 0.7500  12 Tc 3.21, 4 Sm 3.36
Tc 0.1251 0.1251 0.3749  6 Tc 2.74

Computed properties:
- Electronic total energy: -215.22 eV for the cell shown
- Density of states at the Fermi level: 2.03 states/eV per atom



(5)
Material: SmThTc
Method: DFT, PBE
State: relaxed

Unit cell a=3.5076 b=3.5076 c=13.1762 alpha=90.00 beta=90.00 gamma=90.00
With the nearest neighbours (Å) after each atom.
Space group I4mm (No. 107)
Unique sites:
Sm 0.0000 0.0000 0.0000  4 Tc 3.09, 1 Th 3.44
Th 0.0000 0.0000 0.2610  4 Tc 2.95
Tc 0.0000 0.0000 0.6396  4 Th 2.95, 4 Sm 3.09

Computed properties:
- Electronic total energy: -45.14 eV for the cell shown
- Energy above the most stable polymorph in this dataset: 0.2 kJ per mole of atoms
- Density of states at the Fermi level: 0.81 states/eV per atom



(6)
Material: Sm3Th2Tc2
Method: DFT, PBE
State: relaxed

Unit cell a=12.2215 b=3.9908 c=8.6688 alpha=90.00 beta=111.68 gamma=90.00
With the nearest neighbours (Å) after each atom.
Space group C2/m (No. 12)
Unique sites:
Sm 0.0000 0.0000 0.0000  4 Tc 3.10, 2 Sm 3.38
Sm 0.1217 0.0000 0.4188  3 Tc 3.03-3.19, 1 Sm 3.38
Th 0.1650 0.5000 0.8095  2 Tc 2.70
Tc 0.1921 0.5000 0.2095  2 Th 2.70

Computed properties:
- Electronic total energy: -100.38 eV for the cell shown
- Density of states at the Fermi level: 0.89 states/eV per atom